# 1
{"formula": "Y2HoEr2Sc", "functional": "PBE", "state": "optimized geometry", "lattice_angstrom": [[3.316, 0.000, 0.000], [0.000, 6.451, 0.000], [0.000, 0.000, 17.326]], "species": ["Er", "Ho", "Er", "Y", "Sc", "Sc", "Er", "Er", "Y", "Ho", "Y", "Y"], "fractional_positions": [[0.500, 0.244, 0.645], [0.000, 0.000, 0.500], [0.000, 0.744, 0.855], [0.000, 0.755, 0.182], [0.500, 0.500, 0.500], [0.000, 0.000, 0.000], [0.500, 0.756, 0.355], [0.000, 0.256, 0.145], [0.000, 0.245, 0.818], [0.500, 0.500, 0.000], [0.500, 0.255, 0.318], [0.500, 0.745, 0.682]]}

=====

# 2
{"formula": "YHo2ErSc4", "functional": "PBE", "state": "optimized geometry", "lattice_angstrom": [[-2.695, -1.678, -3.686], [3.525, -3.148, -1.143], [-0.310, -9.513, 4.558]], "species": ["Ho", "Sc", "Y", "Sc", "Sc", "Er", "Sc", "Ho"], "fractional_positions": [[0.500, 0.000, 0.500], [0.500, 0.748, 0.252], [0.500, 0.500, 0.000], [0.000, 0.752, 0.748], [0.500, 0.252, 0.748], [0.000, 0.500, 0.500], [0.000, 0.248, 0.252], [0.000, 0.000, 0.000]]}

=====

# 3
{"formula": "Y6Ho3ErSc2", "functional": "PBE", "state": "optimized geometry", "lattice_angstrom": [[6.076, 0.002, 0.003], [-3.035, 5.264, 0.003], [-1.017, -1.761, 11.417]], "species": ["Y", "Y", "Ho", "Ho", "Y", "Sc", "Y", "Y", "Sc", "Er", "Ho", "Y"], "fractional_positions": [[0.082, 0.418, 0.245], [0.418, 0.082, 0.245], [0.500, 0.500, 0.500], [0.167, 0.833, 0.500], [0.253, 0.253, 0.755], [0.667, 0.333, 0.000], [0.582, 0.918, 0.755], [0.918, 0.582, 0.755], [0.333, 0.667, 0.000], [0.000, 0.000, 0.000], [0.833, 0.167, 0.500], [0.747, 0.747, 0.245]]}

=====

# 4
{"formula": "YHoEr2Sc2", "functional": "PBE", "state": "optimized geometry", "lattice_angstrom": [[3.330, 0.000, 0.000], [0.000, 6.269, 0.000], [0.000, 0.000, 17.175]], "species": ["Y", "Sc", "Sc", "Y", "Ho", "Er", "Ho", "Sc", "Sc", "Er", "Er", "Er"], "fractional_positions": [[0.500, 0.500, 0.000], [0.000, 0.728, 0.147], [0.000, 0.272, 0.853], [0.000, 0.000, 0.500], [0.500, 0.500, 0.500], [0.000, 0.230, 0.189], [0.000, 0.000, 0.000], [0.500, 0.228, 0.353], [0.500, 0.772, 0.647], [0.500, 0.730, 0.311], [0.500, 0.270, 0.689], [0.000, 0.770, 0.811]]}

=====

# 5
{"formula": "YHo6Er3Sc2", "functional": "PBE", "state": "optimized geometry", "lattice_angstrom": [[-0.494, -3.337, -5.000], [3.163, -2.070, 4.700], [-10.250, -3.056, 4.264]], "species": ["Sc", "Er", "Ho", "Y", "Ho", "Ho", "Er", "Ho", "Ho", "Ho", "Sc", "Er"], "fractional_positions": [[0.667, 0.333, 0.000], [0.833, 0.167, 0.500], [0.917, 0.581, 0.754], [0.000, 0.000, 0.000], [0.254, 0.254, 0.754], [0.083, 0.419, 0.246], [0.167, 0.833, 0.500], [0.746, 0.746, 0.246], [0.419, 0.083, 0.246], [0.581, 0.917, 0.754], [0.333, 0.667, 0.000], [0.500, 0.500, 0.500]]}

=====

# 6
{"formula": "Y6HoEr2Sc3", "functional": "PBE", "state": "optimized geometry", "lattice_angstrom": [[6.047, 0.001, 0.008], [-3.021, 5.238, 0.008], [-1.023, -1.771, 11.303]], "species": ["Y", "Y", "Ho", "Sc", "Sc", "Y", "Er", "Y", "Y", "Sc", "Er", "Y"], "fractional_positions": [[0.086, 0.419, 0.258], [0.753, 0.753, 0.258], [0.000, 0.000, 0.000], [0.833, 0.167, 0.500], [0.500, 0.500, 0.500], [0.247, 0.247, 0.742], [0.667, 0.333, 0.000], [0.581, 0.914, 0.742], [0.419, 0.086, 0.258], [0.167, 0.833, 0.500], [0.333, 0.667, 0.000], [0.914, 0.581, 0.742]]}

=====

# 7
{"formula": "Y2Ho6ErSc", "functional": "PBE", "state": "optimized geometry", "lattice_angstrom": [[8.949, -1.911, -1.983], [0.780, 8.396, -1.932], [0.780, -2.242, 8.318]], "species": ["Er", "Ho", "Ho", "Y", "Sc", "Ho", "Ho", "Ho", "Sc", "Ho", "Ho", "Y", "Ho", "Er", "Y", "Ho", "Ho", "Ho", "Y", "Ho"], "fractional_positions": [[0.250, 0.977, 0.023], [0.116, 0.708, 0.492], [0.190, 0.566, 0.008], [0.047, 0.303, 0.201], [0.250, 0.413, 0.587], [0.384, 0.508, 0.292], [0.944, 0.873, 0.247], [0.884, 0.292, 0.508], [0.750, 0.587, 0.413], [0.444, 0.247, 0.873], [0.056, 0.127, 0.753], [0.547, 0.201, 0.303], [0.556, 0.753, 0.127], [0.750, 0.023, 0.977], [0.453, 0.799, 0.697], [0.810, 0.434, 0.992], [0.310, 0.992, 0.434], [0.616, 0.492, 0.708], [0.953, 0.697, 0.799], [0.690, 0.008, 0.566]]}

=====

# 8
{"formula": "YHo2Er2Sc", "functional": "PBE", "state": "optimized geometry", "lattice_angstrom": [[5.489, 0.000, 0.000], [0.000, 9.501, 0.000], [0.000, 0.000, 6.877]], "species": ["Y", "Sc", "Er", "Er", "Ho", "Er", "Sc", "Er", "Ho", "Ho", "Y", "Ho"], "fractional_positions": [[0.500, 0.500, 0.000], [0.500, 0.500, 0.500], [0.000, 0.667, 0.252], [0.000, 0.333, 0.748], [0.000, 0.667, 0.747], [0.500, 0.833, 0.752], [0.000, 0.000, 0.000], [0.500, 0.167, 0.248], [0.000, 0.333, 0.253], [0.500, 0.167, 0.753], [0.000, 0.000, 0.500], [0.500, 0.833, 0.247]]}

=====

# 9
{"formula": "Y6HoEr3Sc2", "functional": "PBE", "state": "optimized geometry", "lattice_angstrom": [[-4.535, -0.456, -4.007], [1.300, -4.672, 3.649], [-6.216, 5.758, 7.908]], "species": ["Y", "Y", "Y", "Ho", "Sc", "Y", "Er", "Y", "Y", "Sc", "Er", "Er"], "fractional_positions": [[0.253, 0.253, 0.755], [0.082, 0.418, 0.245], [0.918, 0.582, 0.755], [0.000, 0.000, 0.000], [0.333, 0.667, 0.000], [0.582, 0.918, 0.755], [0.833, 0.167, 0.500], [0.418, 0.082, 0.245], [0.747, 0.747, 0.245], [0.667, 0.333, 0.000], [0.167, 0.833, 0.500], [0.500, 0.500, 0.500]]}

=====

# 10
{"formula": "Y3HoErSc", "functional": "PBE", "state": "optimized geometry", "lattice_angstrom": [[3.522, 0.000, 0.000], [0.000, 9.414, -0.962], [0.000, -5.367, 11.635]], "species": ["Ho", "Y", "Er", "Sc", "Ho", "Y", "Y", "Y", "Y", "Y", "Sc", "Er"], "fractional_positions": [[0.750, 0.339, 0.872], [0.750, 0.355, 0.151], [0.250, 0.277, 0.358], [0.750, 0.965, 0.375], [0.250, 0.661, 0.128], [0.250, 0.037, 0.895], [0.250, 0.669, 0.394], [0.750, 0.331, 0.606], [0.250, 0.645, 0.849], [0.750, 0.963, 0.105], [0.250, 0.035, 0.625], [0.750, 0.723, 0.642]]}

=====

# 11
{"formula": "YHo2ErSc5", "functional": "PBE", "state": "optimized geometry", "lattice_angstrom": [[5.312, 0.000, 0.000], [-2.656, 9.216, 0.000], [0.000, 0.000, 10.360]], "species": ["Sc", "Er", "Y", "Sc", "Er", "Ho", "Sc", "Ho", "Sc", "Sc", "Y", "Ho", "Sc", "Sc", "Sc", "Sc", "Ho", "Sc"], "fractional_positions": [[0.022, 0.043, 0.033], [0.417, 0.835, 0.461], [0.791, 0.582, 0.509], [0.299, 0.597, 0.710], [0.583, 0.165, 0.961], [0.113, 0.226, 0.324], [0.978, 0.957, 0.533], [0.887, 0.774, 0.824], [0.478, 0.956, 0.735], [0.600, 0.200, 0.523], [0.209, 0.418, 0.009], [0.893, 0.786, 0.233], [0.288, 0.576, 0.297], [0.522, 0.044, 0.235], [0.701, 0.403, 0.210], [0.400, 0.800, 0.023], [0.107, 0.214, 0.733], [0.712, 0.424, 0.797]]}

=====

# 12
{"formula": "Y2Ho5ErSc", "functional": "PBE", "state": "optimized geometry", "lattice_angstrom": [[5.519, 0.000, 0.000], [-2.759, 9.871, 0.000], [0.000, 0.000, 10.336]], "species": ["Y", "Ho", "Ho", "Ho", "Sc", "Sc", "Ho", "Er", "Ho", "Ho", "Ho", "Ho", "Ho", "Er", "Y", "Y", "Ho", "Y"], "fractional_positions": [[0.111, 0.222, 0.313], [0.379, 0.758, 0.021], [0.723, 0.447, 0.818], [0.518, 0.036, 0.240], [0.196, 0.393, 0.014], [0.804, 0.607, 0.514], [0.019, 0.037, 0.018], [0.590, 0.181, 0.958], [0.277, 0.553, 0.318], [0.621, 0.242, 0.521], [0.482, 0.964, 0.740], [0.981, 0.963, 0.518], [0.700, 0.400, 0.205], [0.410, 0.819, 0.458], [0.113, 0.227, 0.736], [0.889, 0.778, 0.813], [0.300, 0.600, 0.705], [0.887, 0.773, 0.236]]}

=====

# 13
{"formula": "YHoErSc2", "functional": "PBE", "state": "optimized geometry", "lattice_angstrom": [[-0.114, -3.451, -0.181], [1.101, 1.280, 7.937], [-11.085, 0.288, 1.491]], "species": ["Sc", "Y", "Er", "Sc", "Sc", "Er", "Y", "Ho", "Sc", "Ho"], "fractional_positions": [[0.675, 0.350, 0.022], [0.000, 0.000, 0.500], [0.824, 0.647, 0.250], [0.325, 0.650, 0.978], [0.675, 0.350, 0.478], [0.176, 0.353, 0.750], [0.000, 0.000, 0.000], [0.122, 0.243, 0.250], [0.325, 0.650, 0.522], [0.878, 0.757, 0.750]]}

=====

# 14
{"formula": "Y2Ho6ErSc3", "functional": "PBE", "state": "optimized geometry", "lattice_angstrom": [[-1.899, 2.287, -5.235], [3.766, -4.697, 0.039], [-9.403, -6.237, 1.839]], "species": ["Ho", "Ho", "Sc", "Er", "Y", "Ho", "Ho", "Ho", "Sc", "Ho", "Sc", "Y"], "fractional_positions": [[0.581, 0.913, 0.741], [0.246, 0.246, 0.741], [0.500, 0.500, 0.500], [0.000, 0.000, 0.000], [0.667, 0.333, 0.000], [0.419, 0.087, 0.259], [0.087, 0.419, 0.259], [0.913, 0.581, 0.741], [0.167, 0.833, 0.500], [0.754, 0.754, 0.259], [0.833, 0.167, 0.500], [0.333, 0.667, 0.000]]}

=====

# 15
{"formula": "YHo5Er2Sc", "functional": "PBE", "state": "optimized geometry", "lattice_angstrom": [[-2.916, -1.592, -4.390], [2.851, -8.685, 4.708], [-8.586, 0.229, 5.621]], "species": ["Ho", "Y", "Ho", "Ho", "Ho", "Ho", "Ho", "Ho", "Ho", "Er", "Ho", "Sc", "Y", "Er", "Sc", "Ho", "Er", "Er"], "fractional_positions": [[0.700, 0.400, 0.206], [0.409, 0.817, 0.455], [0.481, 0.962, 0.740], [0.983, 0.966, 0.517], [0.300, 0.600, 0.706], [0.017, 0.034, 0.017], [0.725, 0.450, 0.820], [0.275, 0.550, 0.320], [0.519, 0.038, 0.240], [0.114, 0.229, 0.737], [0.622, 0.244, 0.522], [0.804, 0.609, 0.515], [0.591, 0.183, 0.955], [0.886, 0.771, 0.237], [0.196, 0.391, 0.015], [0.378, 0.756, 0.022], [0.889, 0.777, 0.812], [0.111, 0.223, 0.312]]}

=====

# 16
{"formula": "Y6Ho2ErSc", "functional": "PBE", "state": "optimized geometry", "lattice_angstrom": [[-0.378, 9.413, -1.051], [-6.928, -0.349, 5.203], [7.794, 0.086, 3.799]], "species": ["Ho", "Sc", "Ho", "Y", "Y", "Y", "Y", "Sc", "Y", "Ho", "Y", "Ho", "Y", "Y", "Y", "Er", "Er", "Y", "Y", "Y"], "fractional_positions": [[0.952, 0.700, 0.801], [0.250, 0.412, 0.588], [0.452, 0.801, 0.700], [0.555, 0.754, 0.124], [0.055, 0.124, 0.754], [0.115, 0.706, 0.495], [0.945, 0.876, 0.246], [0.750, 0.588, 0.412], [0.445, 0.246, 0.876], [0.048, 0.300, 0.199], [0.311, 0.995, 0.434], [0.548, 0.199, 0.300], [0.615, 0.495, 0.706], [0.385, 0.505, 0.294], [0.689, 0.005, 0.566], [0.750, 0.022, 0.978], [0.250, 0.978, 0.022], [0.885, 0.294, 0.505], [0.189, 0.566, 0.005], [0.811, 0.434, 0.995]]}

=====

# 17
{"formula": "YHo4Er2Sc", "functional": "PBE", "state": "optimized geometry", "lattice_angstrom": [[-4.765, 0.739, -1.093], [0.874, -1.300, -4.691], [-1.098, -10.700, -2.450]], "species": ["Ho", "Ho", "Ho", "Ho", "Y", "Er", "Er", "Sc"], "fractional_positions": [[0.000, 0.756, 0.744], [0.000, 0.244, 0.256], [0.500, 0.744, 0.256], [0.500, 0.256, 0.744], [0.500, 0.500, 0.000], [0.500, 0.000, 0.500], [0.000, 0.000, 0.000], [0.000, 0.500, 0.500]]}

=====

# 18
{"formula": "Y6HoErSc2", "functional": "PBE", "state": "optimized geometry", "lattice_angstrom": [[-8.534, 3.019, -2.611], [-1.529, -8.176, -2.256], [-1.131, 2.067, 8.290]], "species": ["Ho", "Ho", "Y", "Sc", "Sc", "Y", "Y", "Y", "Y", "Y", "Er", "Y", "Sc", "Er", "Y", "Y", "Y", "Y", "Y", "Sc"], "fractional_positions": [[0.750, 0.593, 0.407], [0.250, 0.407, 0.593], [0.384, 0.504, 0.299], [0.048, 0.299, 0.195], [0.452, 0.805, 0.701], [0.681, 0.016, 0.563], [0.181, 0.563, 0.016], [0.819, 0.437, 0.984], [0.116, 0.701, 0.496], [0.554, 0.758, 0.117], [0.750, 0.027, 0.973], [0.616, 0.496, 0.701], [0.548, 0.195, 0.299], [0.250, 0.973, 0.027], [0.946, 0.883, 0.242], [0.884, 0.299, 0.504], [0.319, 0.984, 0.437], [0.054, 0.117, 0.758], [0.446, 0.242, 0.883], [0.952, 0.701, 0.805]]}

=====

# 19
{"formula": "Y2HoEr4Sc", "functional": "PBE", "state": "optimized geometry", "lattice_angstrom": [[4.941, 0.000, 0.000], [0.000, 4.847, 0.976], [0.000, 2.890, 10.674]], "species": ["Y", "Er", "Y", "Ho", "Er", "Er", "Er", "Sc"], "fractional_positions": [[0.000, 0.000, 0.000], [0.500, 0.254, 0.746], [0.500, 0.000, 0.500], [0.500, 0.500, 0.000], [0.000, 0.754, 0.746], [0.000, 0.246, 0.254], [0.500, 0.746, 0.254], [0.000, 0.500, 0.500]]}

=====

no.,calculated formation energy (meV/atom)
1,274
2,55
3,45
4,282
5,38
6,53
7,132
8,97
9,45
10,42
11,165
12,166
13,250
14,46
15,175
16,126
17,35
18,126
19,38